Computed, not measured: a relaxed structure of Er8Ge3Te4Au at the PBE-GGA level of DFT.

POSCAR file:
```
Er8Ge3Te4Au
1.0
8.4159 0.0000 0.0000
0.0000 8.5570 0.0921
-4.2079 -4.2041 5.9551
Ge Te Er Au
3 4 8 1
Direct
0.0000 0.5000 0.5000 Ge
0.5000 0.5000 0.0000 Ge
0.5000 0.5000 0.5000 Ge
0.5000 0.0000 0.0000 Te
0.0000 0.0000 0.0000 Te
0.5000 0.0000 0.5000 Te
0.0000 0.0000 0.5000 Te
0.7334 0.7228 0.9781 Er
0.2666 0.2772 0.0219 Er
0.7553 0.2772 0.5106 Er
0.7553 0.2772 0.0219 Er
0.2447 0.7228 0.4894 Er
0.2447 0.7228 0.9781 Er
0.7393 0.7180 0.4787 Er
0.2607 0.2820 0.5213 Er
0.0000 0.5000 0.0000 Au
```

Summary:
Uncorrected formation energy: -1.11 eV/atom
Fermi-level density of states: 7.01 states/eV/cell